1.
The following is a DFT calculation (PBE-GGA) of an optimized crystal structure of BaDyGa2Pd5.

Results
SG: No. 123
DOS at the Fermi energy: 0.45 states/eV per atom
Calculated density: 9.03 g/cm³
Calculated formation energy: -0.5823 eV/atom

a = 4.386 Å, b = 4.386 Å, c = 9.287 Å
α = 90.00°, β = 90.00°, γ = 90.00°
Fractional positions:
Ba: 0.000 0.000 0.500
Dy: 0.000 0.000 0.000
Ga: 0.500 0.500 0.133
Ga: 0.500 0.500 0.867
Pd: 0.000 0.500 0.255
Pd: 0.500 0.000 0.255
Pd: 0.000 0.500 0.745
Pd: 0.500 0.000 0.745
Pd: 0.500 0.500 0.500

---

2.
The following is a DFT calculation (PBE-GGA) of an optimized crystal structure of Ho5Al2Cd.

Results
SG: No. 140
DOS at the Fermi energy: 0.94 states/eV per atom
Calculated density: 7.57 g/cm³
Calculated formation energy: -0.2602 eV/atom

a = 7.683 Å, b = 7.683 Å, c = 9.154 Å
α = 114.81°, β = 114.81°, γ = 90.00°
Fractional positions:
Ho: 0.522 0.685 0.707
Ho: 0.815 0.978 0.293
Ho: 0.000 0.000 0.000
Ho: 0.500 0.500 0.000
Ho: 0.185 0.022 0.707
Ho: 0.685 0.185 0.707
Ho: 0.022 0.522 0.707
Ho: 0.315 0.815 0.293
Ho: 0.978 0.478 0.293
Ho: 0.478 0.315 0.293
Al: 0.122 0.378 0.000
Al: 0.622 0.122 0.000
Al: 0.378 0.878 0.000
Al: 0.878 0.622 0.000
Cd: 0.750 0.750 0.500
Cd: 0.250 0.250 0.500

---

3.
The following is a DFT calculation (PBE-GGA) of an optimized crystal structure of ScInBr2.

Results
SG: No. 123
DOS at the Fermi energy: 0.39 states/eV per atom
Calculated density: 4.68 g/cm³
ΔE_f (raw): -0.858 eV per atom

a = 3.356 Å, b = 3.356 Å, c = 10.069 Å
α = 90.00°, β = 90.00°, γ = 90.00°
Fractional positions:
Br: 0.000 0.000 0.914
Br: 0.000 0.000 0.586
In: 0.500 0.500 0.250
Sc: 0.500 0.500 0.750

---

4.
The following is a DFT calculation (PBE-GGA) of an optimized crystal structure of Ca2NbVP.

Results
SG: No. 123
DOS at the Fermi energy: 0.83 states/eV per atom
Calculated density: 3.13 g/cm³
Calculated formation energy: 0.9129 eV/atom

a = 5.502 Å, b = 4.471 Å, c = 5.502 Å
α = 90.00°, β = 90.00°, γ = 90.00°
Site moments in Bohr magnetons follow the coordinates.
Fractional positions:
P: 0.500 0.500 0.500  0.08
Nb: 0.000 0.500 0.000  -0.71
Ca: 0.000 0.000 0.500  0.05
Ca: 0.500 0.000 0.000  0.03
V: 0.000 0.000 0.000  1.42